Record 1
The following is a DFT calculation (PBE) of crystalline Tm5In2Co at its relaxed geometry.

Unit cell a=4.8090 b=6.8399 c=12.2508 alpha=90.00 beta=90.00 gamma=90.00
Sites, in units of the cell vectors:
Tm1 0.5000 0.1748 0.5838
Tm2 0.0000 0.6137 0.2086
Tm3 0.0000 0.3863 0.7914
In1 0.5000 0.3882 0.3409
In2 0.5000 0.6118 0.6591
Tm4 0.0000 0.8863 0.7086
Tm5 0.5000 0.3252 0.0838
In3 0.5000 0.1118 0.8409
In4 0.5000 0.8882 0.1591
Co1 0.0000 0.0000 0.5000
Tm6 0.0000 0.5000 0.5000
Tm7 0.5000 0.8252 0.4162
Tm8 0.0000 0.1137 0.2914
Co2 0.0000 0.5000 0.0000
Tm9 0.0000 0.0000 0.0000
Tm10 0.5000 0.6748 0.9162

The calculation puts the calculated total energy at -4.6713 eV/atom. The formation energy comes out at -0.3038 eV per atom. Its theoretical density is 9.34 g/cm³.

Record 2
The following is a DFT calculation (PBE) of crystalline Nb2AlF at its relaxed geometry.

Unit cell a=4.5870 b=4.5870 c=7.9882 alpha=73.32 beta=73.32 gamma=90.00
Sites, in units of the cell vectors:
Nb1 0.5069 0.1250 0.2500
Nb2 0.3750 0.4931 0.7500
Nb3 0.2431 0.6250 0.2500
Nb4 0.8750 0.7569 0.7500
Al1 0.7500 0.2500 0.5000
Al2 0.0000 0.0000 0.0000
F1 0.5000 0.5000 0.0000
F2 0.2500 0.7500 0.5000

The calculation puts the calculated total energy at -6.2528 eV/atom. Its theoretical density is 5.01 g/cm³. The uncorrected formation energy is 17.9 kJ/mol of atoms.

Question: Among the records above, which one has the highest calculated total energy?
Answer: Tm5In2Co